Y3CrO6 | PBE+U | relaxed

Uncorrected energy = -174.5 eV per cell
Space-group type = Cmc2_1
Crystal system = orthorhombic
Offset from the most stable computed form = 9.6 kJ/mol of atoms

Geometry as extended XYZ:
```
20
Lattice="5.498 0.000 0.000 0.000 7.069 0.102 0.000 -1.478 6.913" Properties=species:S:1:pos:R:3 pbc="T T T"
Y 2.594 5.447 4.794
Y 5.343 3.457 6.380
Y 2.310 1.909 4.214
Y 5.059 3.682 2.801
Y 5.343 0.144 2.222
Y 2.594 2.134 0.636
Cr 5.406 -0.225 5.914
Cr 2.657 5.815 1.101
O 1.073 3.798 4.540
O 3.822 3.578 4.715
O 0.858 1.445 6.281
O 3.607 5.801 2.810
O 1.516 -1.361 6.820
O 3.630 0.423 5.399
O 0.881 5.168 1.617
O 4.265 6.952 0.195
O 0.858 -0.210 4.205
O 3.607 4.146 0.734
O 1.073 2.013 2.300
O 3.822 1.793 2.475
```